Record 1
This record from Alexandria describes a geometry-optimized BeO2F3 structure. The functional is PBE.

Cell: 3.040 5.702 7.673 Å, 97.25 101.43 90.00°
Last column: magnetic moment on the atom in μB.
Atoms (fractional coordinates):
Be1 0.000 0.250 0.000  -0.01
Be2 0.000 0.750 0.000  -0.01
O1 0.264 0.256 0.528  0.14
O2 0.264 0.756 0.528  0.14
O3 0.736 0.244 0.472  0.14
O4 0.736 0.744 0.472  0.14
F1 0.500 0.750 0.000  0.20
F2 0.500 0.250 0.000  0.20
F3 0.918 0.014 0.837  0.28
F4 0.082 0.486 0.163  0.28
F5 0.918 0.514 0.837  0.28
F6 0.082 0.986 0.163  0.28

Summary:
energy relative to the elements, uncorrected = -5.50 eV/f.u.
total magnetic moment = 1.14 μB/f.u.
crystal system = monoclinic

=====

Record 2
This record from Alexandria describes a geometry-optimized Cd2TeAu structure. The functional is PBE.

Cell: 4.018 4.018 5.870 Å, 90.00 90.00 90.00°
Atoms (fractional coordinates):
Te1 0.500 0.500 0.250
Au1 0.500 0.500 0.750
Cd1 0.000 0.000 0.990
Cd2 0.000 0.000 0.510

Summary:
energy relative to the elements, uncorrected = -0.11 eV/f.u.
total magnetic moment = 0.00 μB/f.u.
crystal system = tetragonal

=====

Record 3
This record from Alexandria describes a geometry-optimized Na2In2Fe structure. The functional is PBE.

Cell: 8.859 8.859 3.091 Å, 90.00 90.00 90.00°
Last column: magnetic moment on the atom in μB.
Atoms (fractional coordinates):
Na1 0.381 0.881 0.000  0.00
Na2 0.881 0.619 0.000  0.00
Na3 0.619 0.119 0.000  0.00
Na4 0.119 0.381 0.000  0.00
Fe1 0.000 0.000 0.000  3.17
Fe2 0.500 0.500 0.000  3.17
In1 0.181 0.681 0.500  -0.03
In2 0.681 0.819 0.500  -0.03
In3 0.819 0.319 0.500  -0.03
In4 0.319 0.181 0.500  -0.03

Summary:
total magnetic moment = 2.97 μB/f.u.
crystal system = tetragonal
energy relative to the elements = 0.55 eV per atom

=====

Record 4
This record from Alexandria describes a geometry-optimized ErSc3Ir2 structure. The functional is PBE.

Cell: 4.320 6.908 8.399 Å, 90.00 90.00 90.00°
Atoms (fractional coordinates):
Er1 0.500 0.517 0.578
Er2 0.500 0.017 0.422
Sc1 0.000 0.485 0.916
Sc2 0.000 0.985 0.084
Sc3 0.500 0.645 0.171
Sc4 0.500 0.145 0.829
Sc5 0.000 0.358 0.313
Sc6 0.000 0.858 0.687
Ir1 0.500 0.749 0.856
Ir2 0.500 0.249 0.144
Ir3 0.000 0.247 0.649
Ir4 0.000 0.747 0.351

Summary:
total magnetic moment = 0.00 μB/f.u.
crystal system = orthorhombic
energy relative to the elements = -0.79 eV per atom

=====

In order of appearance, total DFT energy (no corrections) = -49.5 -8.4 -27.6 -92.1 eV for the cell shown.
In order of appearance, DOS(E_F) = 2.7 1.6 4.5 7.9 states/eV/f.u..